TbSm2In9: optimized geometry, PBE.

a = 4.6708 Å, b = 4.6708 Å, c = 14.0167 Å
α = 90.00°, β = 90.00°, γ = 90.00°
With the nearest neighbours (Å) after each atom.
Fractional coordinates of all 12 atoms:
Tb  0.0000  0.0000  0.0000  12 In 3.29-3.30
Sm  0.0000  0.0000  0.3325  12 In 3.30-3.31
Sm  0.0000  0.0000  0.6675  12 In 3.30-3.31
In  0.5000  0.5000  0.0000  8 In 3.29, 4 Tb 3.30
In  0.5000  0.5000  0.3330  4 Sm 3.30, 8 In 3.31-3.32
In  0.5000  0.5000  0.6670  4 Sm 3.30, 8 In 3.31-3.32
In  0.5000  0.0000  0.1649  8 In 3.29-3.32, 2 Tb 3.29, 2 Sm 3.31
In  0.5000  0.0000  0.5000  8 In 3.30-3.31, 4 Sm 3.31
In  0.5000  0.0000  0.8351  8 In 3.29-3.32, 2 Tb 3.29, 2 Sm 3.31
In  0.0000  0.5000  0.1649  2 Tb 3.29, 8 In 3.29-3.32, 2 Sm 3.31
In  0.0000  0.5000  0.5000  8 In 3.30-3.31, 4 Sm 3.31
In  0.0000  0.5000  0.8351  2 Tb 3.29, 8 In 3.29-3.32, 2 Sm 3.31

Values from the calculation:
For the calculated volume, the calculation gives 306 Å³ per cell. As for the energy of formation: -0.45 eV per atom. As for the symmetry: P4/mmm, No. 123. As for the total magnetization: 0.0 Bohr magnetons per cell. Its crystal system is tetragonal. As for the density of states at the Fermi level: 4.5 states/eV/f.u.